4
Lattice="4.192 -0.007 0.036 2.104 3.625 0.036 2.011 1.156 8.780" Properties=species:S:1:pos:R:3 comment="Sr2TcMo (PBE, optimized geometry)" dos_ef_per_ev_atom=1.164 m_tot_mub_per_cell=0.0 polymorph_energy_mev_per_atom=0 spacegroup="Cm, No. 8" volume_a3_per_cell=133.20 delta_e_f_ev_per_atom=0.3775 pbc="T T T"
Mo 2.064 1.186 3.415
Sr 6.285 3.612 0.964
Sr 6.242 3.587 5.762
Tc 4.166 2.394 3.210